CeSm2Er3 | PBE | relaxed

Output
D(E_F)	50.3	states/eV per cell
energy of formation	128	meV per atom
E	-113.163	eV/cell

Cell: 19.9604 3.4828 12.9765 Å, 90.00 120.96 90.00°
Last column: nearest neighbours and their distance in Å.
Space group C2/m (No. 12)
Symmetry-distinct sites (fractional):
Ce 0.0987 0.0000 0.1432 x4  4 Sm 3.41-3.53, 3 Ce 3.48-3.78, 4 Er 3.55-3.59
Sm 0.0807 0.0000 0.8672 x4  5 Er 3.40-3.61, 2 Ce 3.41-3.51, 4 Sm 3.48-3.53
Sm 0.0806 0.5000 0.3647 x4  5 Er 3.41-3.61, 4 Sm 3.48-3.53, 2 Ce 3.53
Er 0.0996 0.5000 0.6454 x4  4 Sm 3.46-3.55, 7 Er 3.48-3.82
Er 0.2411 0.0000 0.6122 x4  3 Sm 3.41-3.61, 7 Er 3.41-3.56, 2 Ce 3.59
Er 0.2426 0.5000 0.1127 x4  3 Sm 3.40-3.61, 7 Er 3.41-3.55, 2 Ce 3.55

***

CeSmEr3 | PBE | relaxed

Output
D(E_F)	43.7	states/eV per cell
energy of formation	247	meV per atom
E	-92.424	eV/cell

Cell: 6.9495 11.0052 8.6818 Å, 90.00 101.79 90.00°
Last column: nearest neighbours and their distance in Å.
Space group P2_1/m (No. 11)
Symmetry-distinct sites (fractional):
Ce 0.0094 0.2500 0.0573 x2  6 Er 3.23-3.29, 2 Sm 3.36-3.59, 1 Ce 3.53
Ce 0.3204 0.7500 0.3109 x2  3 Sm 3.47-3.57, 1 Ce 3.53, 8 Er 3.59-3.85
Sm 0.1790 0.2500 0.6901 x2  3 Ce 3.47-3.62, 1 Sm 3.57, 8 Er 3.61-3.84
Sm 0.4749 0.7500 0.9437 x2  6 Er 3.28-3.31, 3 Ce 3.36-3.59, 1 Sm 3.57
Er 0.0841 0.0584 0.3451 x4  1 Ce 3.23, 6 Er 3.38-3.48, 1 Sm 3.61
Er 0.2469 0.0035 0.9989 x4  2 Ce 3.27-3.29, 2 Sm 3.29-3.31, 6 Er 3.44-3.52
Er 0.4143 0.5565 0.6503 x4  1 Sm 3.28, 6 Er 3.32-3.52, 1 Ce 3.59

***

CeSm12Er7 | PBE | relaxed

Output
D(E_F)	98.3	states/eV per cell
energy relative to the lowest polymorph listed for this composition	0.014	eV/atom
energy of formation	263	meV per atom
E	-267.725	eV/cell

Cell: 19.5222 19.5222 6.1052 Å, 90.00 90.00 120.00°
Last column: nearest neighbours and their distance in Å.
Space group R-3 (No. 148, hexagonal axes)
Symmetry-distinct sites (fractional):
Ce 0.0000 0.0000 0.0000 x3  8 Er 2.99-3.05
Sm 0.0002 0.4135 0.5005 x18  2 Er 3.37, 5 Sm 3.38-3.72
Sm 0.0969 0.5488 0.9715 x18  4 Er 3.27-3.60, 1 Sm 3.29
Er 0.0000 0.0000 0.5000 x3  2 Ce 3.05, 6 Er 3.28
Er 0.0803 0.9190 0.7989 x18  1 Ce 2.99, 2 Sm 3.27-3.34, 1 Er 3.28

***

CeSm6Er10 | PBE | relaxed

Output
D(E_F)	27.8	states/eV per cell
energy of formation	145	meV per atom
E	-77.407	eV/cell

Cell: 9.6191 9.6191 6.8427 Å, 90.00 90.00 120.00°
Last column: nearest neighbours and their distance in Å.
Space group P-31m (No. 162)
Symmetry-distinct sites (fractional):
Ce 0.0000 0.0000 0.0000 x1  6 Er 3.40
Sm 0.0000 0.3793 0.2002 x6  9 Er 3.31-3.69, 1 Sm 3.59
Er 0.0000 0.2720 0.6821 x6  5 Sm 3.36-3.69, 1 Ce 3.40, 4 Er 3.61-3.75
Er 0.3333 0.6667 0.0000 x2  6 Sm 3.31, 2 Er 3.42
Er 0.3333 0.6667 0.5000 x2  8 Er 3.42-3.75, 6 Sm 3.64

***

CeSm10Er6 | PBE | relaxed

Output
D(E_F)	27.8	states/eV per cell
energy of formation	152	meV per atom
E	-77.914	eV/cell

Cell: 9.7368 9.7368 6.8581 Å, 90.00 90.00 120.00°
Last column: nearest neighbours and their distance in Å.
Space group P-31m (No. 162)
Symmetry-distinct sites (fractional):
Ce 0.0000 0.0000 0.0000 x1  6 Sm 3.44
Sm 0.0000 0.2743 0.3162 x6  5 Er 3.36-3.61, 1 Ce 3.44, 2 Sm 3.67
Sm 0.3333 0.6667 0.0000 x2  6 Er 3.34, 2 Sm 3.43
Sm 0.3333 0.6667 0.5000 x2  8 Sm 3.43-3.78, 6 Er 3.73
Er 0.0000 0.3723 0.8079 x6  9 Sm 3.34-3.73, 1 Er 3.62

***

CeSm8Er2 | PBE | relaxed

Output
D(E_F)	37.7	states/eV per cell
energy relative to the lowest polymorph listed for this composition	0.000	eV/atom
energy of formation	40	meV per atom
E	-104.755	eV/cell

Cell: 18.3509 5.0896 8.0423 Å, 90.00 105.27 90.00°
Last column: nearest neighbours and their distance in Å.
Space group C2/m (No. 12)
Symmetry-distinct sites (fractional):
Ce 0.0000 0.0000 0.0000 x2  12 Sm 3.58-3.60
Sm 0.0456 0.5000 0.7314 x4  2 Ce 3.58, 9 Sm 3.58-3.66, 1 Er 3.63
Sm 0.0915 0.0000 0.4543 x4  3 Er 3.57-3.60, 8 Sm 3.58-3.62, 1 Ce 3.60
Sm 0.1365 0.5000 0.1835 x4  7 Sm 3.58-3.62, 3 Er 3.58-3.59, 2 Ce 3.60
Sm 0.1808 0.0000 0.9101 x4  1 Ce 3.58, 8 Sm 3.58-3.62, 3 Er 3.59-3.62
Er 0.2282 0.5000 0.6358 x4  10 Sm 3.57-3.63, 2 Er 3.58